The following is a DFT calculation (PBE) of a relaxed structure of TbSmTlCu2.

a = 3.662 Å, b = 7.433 Å, c = 7.433 Å
α = 33.77°, β = 90.00°, γ = 90.00°
Fractional coordinates of all 5 atoms:
1 Cu 0.500 0.798 0.798
2 Cu 0.500 0.204 0.204
3 Tl 0.500 0.999 0.999
4 Sm 0.000 0.634 0.634
5 Tb 0.000 0.365 0.365

space-group type	No. 38
total energy	-4.1368	eV per atom



The following is a DFT calculation (PBE) of a relaxed structure of SmCuTc.

a = 4.536 Å, b = 4.536 Å, c = 4.536 Å
α = 60.00°, β = 60.00°, γ = 60.00°
Fractional coordinates of all 3 atoms:
1 Tc 0.750 0.750 0.750
2 Cu 0.250 0.250 0.250
3 Sm 0.000 0.000 0.000

space-group type	No. 216
DFT formation energy	1167.0	meV per atom



The following is a DFT calculation (PBE) of a relaxed structure of Sm2CuTe3.

a = 11.391 Å, b = 4.198 Å, c = 14.376 Å
α = 90.00°, β = 90.00°, γ = 90.00°
Fractional coordinates of all 24 atoms:
1 Te 0.049 0.750 0.604
2 Te 0.549 0.750 0.896
3 Te 0.451 0.250 0.104
4 Te 0.735 0.250 0.659
5 Te 0.265 0.750 0.341
6 Te 0.903 0.750 0.905
7 Te 0.765 0.750 0.159
8 Te 0.951 0.250 0.396
9 Te 0.097 0.250 0.095
10 Te 0.235 0.250 0.841
11 Te 0.597 0.250 0.405
12 Te 0.403 0.750 0.595
13 Cu 0.235 0.750 0.720
14 Cu 0.735 0.750 0.780
15 Cu 0.265 0.250 0.220
16 Cu 0.765 0.250 0.280
17 Sm 0.982 0.250 0.756
18 Sm 0.518 0.750 0.256
19 Sm 0.221 0.250 0.514
20 Sm 0.018 0.750 0.244
21 Sm 0.482 0.250 0.744
22 Sm 0.779 0.750 0.486
23 Sm 0.279 0.750 0.014
24 Sm 0.721 0.250 0.986

space-group type	No. 62
total energy	-4.8205	eV per atom



The following is a DFT calculation (PBE) of a relaxed structure of SmCu3Te4.

a = 7.541 Å, b = 7.541 Å, c = 7.541 Å
α = 131.48°, β = 131.48°, γ = 71.05°
Fractional coordinates of all 8 atoms:
1 Cu 0.500 0.500 0.000
2 Cu 0.750 0.250 0.500
3 Cu 0.250 0.750 0.500
4 Te 0.858 0.858 0.435
5 Te 0.142 0.577 0.000
6 Te 0.423 0.423 0.565
7 Te 0.577 0.142 0.000
8 Sm 0.000 0.000 0.000

space-group type	No. 121
total energy	-3.8599	eV per atom



The following is a DFT calculation (PBE) of a relaxed structure of Sm2CuTe3.

a = 7.467 Å, b = 7.467 Å, c = 11.358 Å
α = 90.00°, β = 90.00°, γ = 147.38°
Fractional coordinates of all 12 atoms:
1 Cu 0.969 0.031 0.750
2 Cu 0.031 0.969 0.250
3 Te 0.849 0.151 0.929
4 Te 0.151 0.849 0.071
5 Te 0.408 0.592 0.250
6 Te 0.592 0.408 0.750
7 Te 0.849 0.151 0.571
8 Te 0.151 0.849 0.429
9 Sm 0.268 0.732 0.750
10 Sm 0.500 0.500 0.500
11 Sm 0.500 0.500 0.000
12 Sm 0.732 0.268 0.250

space-group type	No. 63
total energy	-4.8185	eV per atom



The following is a DFT calculation (PBE) of a relaxed structure of SmTmCuTe3.

a = 7.423 Å, b = 7.423 Å, c = 11.027 Å
α = 90.00°, β = 90.00°, γ = 147.40°
Fractional coordinates of all 12 atoms:
1 Te 0.408 0.592 0.250
2 Te 0.147 0.853 0.064
3 Te 0.147 0.853 0.436
4 Te 0.853 0.147 0.936
5 Te 0.592 0.408 0.750
6 Te 0.853 0.147 0.564
7 Cu 0.030 0.970 0.250
8 Cu 0.970 0.030 0.750
9 Tm 0.500 0.500 0.000
10 Tm 0.500 0.500 0.500
11 Sm 0.271 0.729 0.750
12 Sm 0.729 0.271 0.250

space-group type	No. 63
total energy	-4.7391	eV per atom



The following is a DFT calculation (PBE) of a relaxed structure of SmZnCuTe3.

a = 7.265 Å, b = 7.265 Å, c = 11.335 Å
α = 90.00°, β = 90.00°, γ = 147.70°
Fractional coordinates of all 12 atoms:
1 Te 0.345 0.655 0.416
2 Te 0.655 0.345 0.584
3 Te 0.897 0.103 0.750
4 Te 0.345 0.655 0.084
5 Te 0.655 0.345 0.916
6 Te 0.103 0.897 0.250
7 Cu 0.477 0.523 0.250
8 Cu 0.523 0.477 0.750
9 Sm 0.000 0.000 0.000
10 Sm 0.000 0.000 0.500
11 Zn 0.768 0.232 0.250
12 Zn 0.232 0.768 0.750

space-group type	No. 63
total energy	-3.7373	eV per atom



The following is a DFT calculation (PBE) of a relaxed structure of SmThCu.

a = 4.905 Å, b = 4.905 Å, c = 4.905 Å
α = 60.00°, β = 60.00°, γ = 60.00°
Fractional coordinates of all 3 atoms:
1 Cu 0.000 0.000 0.000
2 Sm 0.250 0.250 0.250
3 Th 0.750 0.750 0.750

space-group type	No. 216
polymorph energy (0 for the lowest one)	0.000	eV/atom
DFT formation energy	198.1	meV per atom



The following is a DFT calculation (PBE) of a relaxed structure of SmTlCu.

a = 4.820 Å, b = 4.820 Å, c = 4.820 Å
α = 60.00°, β = 60.00°, γ = 60.00°
Fractional coordinates of all 3 atoms:
1 Cu 0.250 0.250 0.250
2 Sm 0.750 0.750 0.750
3 Tl 0.000 0.000 0.000

space-group type	No. 216
total energy	-3.4403	eV per atom



The following is a DFT calculation (PBE) of a relaxed structure of SmTlCu.

a = 4.935 Å, b = 4.935 Å, c = 4.935 Å
α = 60.00°, β = 60.00°, γ = 60.00°
Fractional coordinates of all 3 atoms:
1 Sm 0.000 0.000 0.000
2 Cu 0.250 0.250 0.250
3 Tl 0.750 0.750 0.750

space-group type	No. 216
total energy	-3.3063	eV per atom



The following is a DFT calculation (PBE) of a relaxed structure of SmYTlCu2.

a = 3.643 Å, b = 7.389 Å, c = 7.389 Å
α = 33.72°, β = 90.00°, γ = 90.00°
Fractional coordinates of all 5 atoms:
1 Sm 0.500 0.366 0.366
2 Cu 0.000 0.796 0.796
3 Cu 0.000 0.202 0.202
4 Tl 0.000 0.001 0.001
5 Y 0.500 0.634 0.634

space-group type	No. 38
total energy	-4.5064	eV per atom



The following is a DFT calculation (PBE) of a relaxed structure of SmTmCu.

a = 4.771 Å, b = 4.771 Å, c = 4.771 Å
α = 60.00°, β = 60.00°, γ = 60.00°
Fractional coordinates of all 3 atoms:
1 Cu 0.250 0.250 0.250
2 Sm 0.750 0.750 0.750
3 Tm 0.000 0.000 0.000

space-group type	No. 216
polymorph energy (0 for the lowest one)	0.000	eV/atom
DFT formation energy	614.5	meV per atom



The following is a DFT calculation (PBE) of a relaxed structure of SmCuW.

a = 4.627 Å, b = 4.627 Å, c = 4.627 Å
α = 60.00°, β = 60.00°, γ = 60.00°
Fractional coordinates of all 3 atoms:
1 Sm 0.000 0.000 0.000
2 W 0.750 0.750 0.750
3 Cu 0.250 0.250 0.250

space-group type	No. 216
DFT formation energy	1678.0	meV per atom



The following is a DFT calculation (PBE) of a relaxed structure of SmYCu.

a = 4.802 Å, b = 4.802 Å, c = 4.802 Å
α = 60.00°, β = 60.00°, γ = 60.00°
Fractional coordinates of all 3 atoms:
1 Sm 0.000 0.000 0.000
2 Y 0.750 0.750 0.750
3 Cu 0.250 0.250 0.250

space-group type	No. 216
DFT formation energy	696.4	meV per atom



The following is a DFT calculation (PBE) of a relaxed structure of Sm2ZnCu3.

a = 5.540 Å, b = 5.540 Å, c = 7.014 Å
α = 128.31°, β = 128.31°, γ = 46.50°
Fractional coordinates of all 6 atoms:
1 Sm 0.460 0.460 0.707
2 Sm 0.541 0.541 0.292
3 Zn 0.833 0.833 0.887
4 Cu 0.167 0.167 0.115
5 Cu 0.164 0.164 0.711
6 Cu 0.836 0.836 0.289

space-group type	No. 8
DFT formation energy	-263.5	meV per atom



The following is a DFT calculation (PBE) of a relaxed structure of Sm2Zn3Cu.

a = 5.614 Å, b = 5.614 Å, c = 7.146 Å
α = 128.34°, β = 128.34°, γ = 46.90°
Fractional coordinates of all 6 atoms:
1 Sm 0.536 0.536 0.788
2 Sm 0.464 0.464 0.213
3 Zn 0.837 0.837 0.789
4 Zn 0.831 0.831 0.384
5 Zn 0.166 0.166 0.613
6 Cu 0.165 0.165 0.214

space-group type	No. 8
DFT formation energy	-331.5	meV per atom



The following is a DFT calculation (PBE) of a relaxed structure of SmZrCu.

a = 4.686 Å, b = 4.686 Å, c = 4.686 Å
α = 60.00°, β = 60.00°, γ = 60.00°
Fractional coordinates of all 3 atoms:
1 Cu 0.000 0.000 0.000
2 Zr 0.750 0.750 0.750
3 Sm 0.250 0.250 0.250

space-group type	No. 216
polymorph energy (0 for the lowest one)	0.000	eV/atom
DFT formation energy	303.1	meV per atom



The following is a DFT calculation (PBE) of a relaxed structure of SmZrCu.

a = 4.665 Å, b = 4.665 Å, c = 4.665 Å
α = 60.00°, β = 60.00°, γ = 60.00°
Fractional coordinates of all 3 atoms:
1 Cu 0.250 0.250 0.250
2 Zr 0.750 0.750 0.750
3 Sm 0.000 0.000 0.000

space-group type	No. 216
polymorph energy (0 for the lowest one)	0.690	eV/atom
DFT formation energy	993.3	meV per atom



The following is a DFT calculation (PBE) of a relaxed structure of CuSn2.

a = 5.399 Å, b = 4.110 Å, c = 11.846 Å
α = 90.00°, β = 90.00°, γ = 90.00°
Fractional coordinates of all 12 atoms:
1 Sn 0.876 0.250 0.903
2 Sn 0.624 0.750 0.403
3 Sn 0.629 0.250 0.182
4 Sn 0.871 0.750 0.682
5 Sn 0.124 0.750 0.097
6 Sn 0.129 0.250 0.318
7 Sn 0.371 0.750 0.818
8 Sn 0.376 0.250 0.597
9 Cu 0.634 0.750 0.025
10 Cu 0.134 0.750 0.475
11 Cu 0.366 0.250 0.975
12 Cu 0.866 0.250 0.525

space-group type	No. 62
total energy	-3.8855	eV per atom



The following is a DFT calculation (PBE) of a relaxed structure of CuSn2.

a = 6.043 Å, b = 6.043 Å, c = 6.043 Å
α = 60.00°, β = 60.00°, γ = 60.00°
Fractional coordinates of all 6 atoms:
1 Cu 0.000 0.000 0.000
2 Cu 0.250 0.250 0.250
3 Sn 0.625 0.125 0.625
4 Sn 0.125 0.625 0.625
5 Sn 0.625 0.625 0.625
6 Sn 0.625 0.625 0.125

space-group type	No. 227
total energy	-3.2489	eV per atom



The following is a DFT calculation (PBE) of a relaxed structure of CuSn4.

a = 13.024 Å, b = 13.024 Å, c = 13.024 Å
α = 109.47°, β = 109.47°, γ = 109.47°
Fractional coordinates of all 60 atoms:
1 Sn 0.412 0.090 0.627
2 Sn 0.912 0.127 0.590
3 Sn 0.677 0.090 0.963
4 Sn 0.590 0.912 0.127
5 Sn 0.373 0.588 0.910
6 Sn 0.088 0.873 0.410
7 Sn 0.873 0.963 0.785
8 Sn 0.537 0.627 0.715
9 Sn 0.463 0.373 0.285
10 Sn 0.537 0.410 0.823
11 Sn 0.088 0.715 0.677
12 Sn 0.677 0.088 0.715
13 Sn 0.823 0.537 0.410
14 Sn 0.785 0.412 0.823
15 Sn 0.963 0.677 0.090
16 Sn 0.285 0.323 0.912
17 Sn 0.823 0.785 0.412
18 Sn 0.627 0.412 0.090
19 Sn 0.323 0.910 0.037
20 Sn 0.627 0.715 0.537
21 Sn 0.588 0.910 0.373
22 Sn 0.912 0.285 0.323
23 Sn 0.127 0.037 0.215
24 Sn 0.037 0.323 0.910
25 Sn 0.323 0.912 0.285
26 Sn 0.215 0.127 0.037
27 Sn 0.215 0.588 0.177
28 Sn 0.412 0.823 0.785
29 Sn 0.588 0.177 0.215
30 Sn 0.910 0.373 0.588
31 Sn 0.715 0.677 0.088
32 Sn 0.910 0.037 0.323
33 Sn 0.373 0.285 0.463
34 Sn 0.177 0.463 0.590
35 Sn 0.715 0.537 0.627
36 Sn 0.285 0.463 0.373
37 Sn 0.090 0.627 0.412
38 Sn 0.463 0.590 0.177
39 Sn 0.785 0.873 0.963
40 Sn 0.410 0.823 0.537
41 Sn 0.963 0.785 0.873
42 Sn 0.410 0.088 0.873
43 Sn 0.037 0.215 0.127
44 Sn 0.590 0.177 0.463
45 Sn 0.090 0.963 0.677
46 Sn 0.177 0.215 0.588
47 Sn 0.127 0.590 0.912
48 Sn 0.873 0.410 0.088
49 Cu 0.375 0.125 0.250
50 Cu 0.750 0.625 0.875
51 Cu 0.625 0.250 0.875
52 Cu 0.375 0.750 0.125
53 Cu 0.125 0.250 0.375
54 Cu 0.750 0.125 0.375
55 Cu 0.125 0.375 0.750
56 Cu 0.875 0.750 0.625
57 Cu 0.250 0.375 0.125
58 Cu 0.250 0.875 0.625
59 Cu 0.875 0.625 0.250
60 Cu 0.625 0.875 0.750

space-group type	No. 230
total energy	-3.8268	eV per atom



The following is a DFT calculation (PBE) of a relaxed structure of Cu17Sn.

a = 4.416 Å, b = 5.087 Å, c = 31.532 Å
α = 90.00°, β = 90.02°, γ = 90.00°
Fractional coordinates of all 36 atoms:
1 Cu 0.834 0.250 0.434
2 Cu 0.666 0.496 0.764
3 Cu 0.999 0.003 0.302
4 Cu 0.168 0.250 0.368
5 Cu 0.500 0.250 0.500
6 Cu 0.333 0.501 0.434
7 Cu 0.497 0.750 0.698
8 Cu 0.498 0.750 0.303
9 Cu 0.167 0.250 0.566
10 Cu 0.667 0.000 0.368
11 Cu 0.667 0.001 0.566
12 Cu 0.832 0.750 0.632
13 Cu 0.999 0.497 0.302
14 Cu 0.167 0.250 0.764
15 Cu 0.833 0.750 0.434
16 Cu 0.667 0.499 0.566
17 Cu 0.334 0.996 0.236
18 Cu 0.334 0.504 0.236
19 Cu 0.503 0.250 0.302
20 Cu 0.667 0.500 0.368
21 Cu 0.166 0.750 0.566
22 Cu 0.333 0.000 0.632
23 Cu 0.000 0.000 0.500
24 Cu 0.000 0.500 0.500
25 Cu 0.333 0.999 0.434
26 Cu 0.001 0.997 0.698
27 Cu 0.834 0.250 0.632
28 Cu 0.166 0.750 0.368
29 Cu 0.333 0.500 0.632
30 Cu 0.001 0.503 0.698
31 Cu 0.502 0.250 0.697
32 Cu 0.500 0.750 0.500
33 Cu 0.666 0.004 0.764
34 Cu 0.833 0.750 0.236
35 Sn 0.166 0.750 0.786
36 Sn 0.834 0.250 0.214

space-group type	No. 11
total energy	-3.6772	eV per atom